Record 1
{"formula": "Cs3SiBi", "functional": "PBE", "state": "relaxed", "lattice_angstrom": [[-1.902, 1.446, -3.214], [4.534, -10.600, -2.443], [-8.902, -0.056, 7.701]], "species": ["Cs", "Cs", "Cs", "Cs", "Cs", "Cs", "Si", "Si", "Bi", "Bi"], "fractional_positions": [[0.641, 0.608, 0.390], [0.768, 0.902, 0.054], [0.403, 0.546, 0.032], [0.641, 0.929, 0.744], [0.403, 0.225, 0.678], [0.277, 0.252, 0.367], [0.856, 0.639, 0.756], [0.188, 0.516, 0.666], [0.615, 0.247, 0.056], [0.429, 0.908, 0.365]], "n_ef_per_ev_atom": 0.644, "e_tot_ev_per_atom": -2.506, "space_group": "P-1", "e_above_lowest_polymorph_mev_per_atom": 0, "total_magnetization_mub_per_fu": 0.000, "e_form_raw_ev_per_atom": -0.13}

Record 2
{"formula": "CsTaSi2Bi", "functional": "PBE", "state": "relaxed", "lattice_angstrom": [[5.105, 0.000, 0.000], [0.000, 5.547, 0.000], [0.000, 0.000, 5.105]], "species": ["Bi", "Si", "Si", "Cs", "Ta"], "fractional_positions": [[0.000, 0.500, 0.000], [0.000, 0.000, 0.500], [0.500, 0.000, 0.000], [0.500, 0.500, 0.500], [0.000, 0.000, 0.000]], "n_ef_per_ev_atom": 0.542, "e_tot_ev_per_atom": -5.184, "space_group": "P4/mmm", "total_magnetization_mub_per_fu": 0.000, "e_form_raw_ev_per_atom": 0.30}

Record 3
{"formula": "CsSmBi2", "functional": "PBE", "state": "relaxed", "lattice_angstrom": [[4.322, 0.000, 0.000], [0.000, 4.322, 0.000], [0.000, 0.000, 8.405]], "species": ["Bi", "Bi", "Cs", "Sm"], "fractional_positions": [[0.000, 0.000, 0.817], [0.000, 0.000, 0.183], [0.500, 0.500, 0.500], [0.500, 0.500, 0.000]], "n_ef_per_ev_atom": 0.600, "e_tot_ev_per_atom": -3.873, "space_group": "P4/mmm", "e_above_lowest_polymorph_mev_per_atom": 0, "e_form_kj_per_mol_atoms": -52.06, "total_magnetization_mub_per_fu": 0.000}

Record 4
{"formula": "CsSmBi2", "functional": "PBE", "state": "relaxed", "lattice_angstrom": [[4.645, 0.000, 0.000], [2.323, 4.023, 0.000], [2.323, 1.341, 9.352]], "species": ["Bi", "Bi", "Sm", "Cs"], "fractional_positions": [[0.270, 0.270, 0.189], [0.730, 0.730, 0.811], [0.000, 0.000, 0.000], [0.500, 0.500, 0.500]], "n_ef_per_ev_atom": 0.714, "e_tot_ev_per_atom": -3.725, "space_group": "R-3m", "e_above_lowest_polymorph_mev_per_atom": 149, "e_form_kj_per_mol_atoms": -37.72, "total_magnetization_mub_per_fu": 0.000}

Record 5
{"formula": "Cs3Sm3BiTe8", "functional": "PBE", "state": "relaxed", "lattice_angstrom": [[9.056, 0.000, 0.000], [-4.528, 7.866, -0.042], [0.000, -5.213, 9.230]], "species": ["Te", "Te", "Te", "Te", "Te", "Te", "Te", "Te", "Sm", "Sm", "Sm", "Bi", "Cs", "Cs", "Cs"], "fractional_positions": [[0.233, 0.466, 0.693], [0.767, 0.534, 0.307], [0.767, 0.040, 0.307], [0.727, 0.960, 0.693], [0.268, 0.537, 0.306], [0.732, 0.463, 0.694], [0.233, 0.960, 0.693], [0.273, 0.040, 0.307], [0.500, 0.000, 0.500], [0.000, 0.500, 0.500], [0.500, 0.500, 0.500], [0.000, 0.000, 0.500], [0.000, 0.500, 0.000], [0.000, 0.000, 0.000], [0.500, 0.500, 0.000]], "n_ef_per_ev_atom": 0.773, "e_tot_ev_per_atom": -4.173, "space_group": "C2/m", "total_magnetization_mub_per_fu": 0.000, "e_form_raw_ev_per_atom": -1.12}

Record 6
{"formula": "Cs3Sn4Bi2", "functional": "PBE", "state": "relaxed", "lattice_angstrom": [[5.406, 0.112, -0.454], [2.842, 7.472, -0.468], [2.043, 2.587, 9.189]], "species": ["Bi", "Bi", "Cs", "Cs", "Cs", "Sn", "Sn", "Sn", "Sn"], "fractional_positions": [[0.611, 0.327, 0.256], [0.389, 0.673, 0.744], [0.649, 0.117, 0.647], [0.000, 0.000, 0.000], [0.351, 0.883, 0.353], [0.731, 0.627, 0.033], [0.021, 0.504, 0.340], [0.979, 0.496, 0.660], [0.269, 0.373, 0.967]], "n_ef_per_ev_atom": 0.299, "e_tot_ev_per_atom": -3.121, "space_group": "P-1", "e_form_kj_per_mol_atoms": -18.79, "total_magnetization_mub_per_fu": 0.000}

Record 7
{"formula": "Cs3SnBi", "functional": "PBE", "state": "relaxed", "lattice_angstrom": [[-1.989, 3.182, -6.387], [1.066, -6.424, -3.533], [-7.056, -1.868, 1.267]], "species": ["Cs", "Cs", "Cs", "Bi", "Sn"], "fractional_positions": [[0.000, 0.000, 0.500], [0.000, 0.500, 0.000], [0.500, 0.000, 0.000], [0.000, 0.000, 0.000], [0.500, 0.500, 0.500]], "n_ef_per_ev_atom": 1.318, "e_tot_ev_per_atom": -1.929, "space_group": "Pm-3m", "e_above_lowest_polymorph_mev_per_atom": 333, "e_form_kj_per_mol_atoms": 15.40, "total_magnetization_mub_per_fu": 3.853}

Record 8
{"formula": "CsSnBi2", "functional": "PBE", "state": "relaxed", "lattice_angstrom": [[4.301, 0.000, 0.000], [2.151, 3.725, 0.000], [2.151, 1.242, 10.063]], "species": ["Sn", "Bi", "Bi", "Cs"], "fractional_positions": [[0.000, 0.000, 0.000], [0.271, 0.271, 0.186], [0.729, 0.729, 0.814], [0.500, 0.500, 0.500]], "n_ef_per_ev_atom": 0.836, "e_tot_ev_per_atom": -3.158, "space_group": "R-3m", "e_form_kj_per_mol_atoms": -0.28, "total_magnetization_mub_per_fu": 0.000}

Record 9
{"formula": "Cs2Sn3Bi5", "functional": "PBE", "state": "relaxed", "lattice_angstrom": [[8.242, 0.053, 0.045], [4.192, 10.017, 0.176], [4.192, 1.719, 9.870]], "species": ["Bi", "Bi", "Bi", "Bi", "Bi", "Bi", "Bi", "Bi", "Bi", "Bi", "Sn", "Sn", "Sn", "Sn", "Sn", "Sn", "Cs", "Cs", "Cs", "Cs"], "fractional_positions": [[0.001, 0.739, 0.745], [0.602, 0.763, 0.990], [0.398, 0.237, 0.010], [0.999, 0.261, 0.255], [0.499, 0.255, 0.261], [0.102, 0.990, 0.763], [0.898, 0.010, 0.237], [0.750, 0.502, 0.498], [0.501, 0.745, 0.739], [0.250, 0.498, 0.502], [0.116, 0.258, 0.498], [0.750, 0.986, 0.014], [0.616, 0.498, 0.258], [0.384, 0.502, 0.742], [0.250, 0.014, 0.986], [0.884, 0.742, 0.502], [0.874, 0.374, 0.879], [0.374, 0.879, 0.374], [0.126, 0.626, 0.121], [0.626, 0.121, 0.626]], "n_ef_per_ev_atom": 0.530, "e_tot_ev_per_atom": -3.476, "space_group": "C2/c", "e_form_kj_per_mol_atoms": -15.80, "total_magnetization_mub_per_fu": 0.000}

Record 10
{"formula": "Cs5Sn2Bi4", "functional": "PBE", "state": "relaxed", "lattice_angstrom": [[-2.012, 5.495, 1.800], [-8.345, -3.418, 1.106], [9.045, -3.014, 8.898]], "species": ["Cs", "Cs", "Cs", "Cs", "Cs", "Sn", "Sn", "Bi", "Bi", "Bi", "Bi"], "fractional_positions": [[0.831, 0.615, 0.662], [0.166, 0.880, 0.332], [0.169, 0.385, 0.338], [0.500, 0.000, 0.000], [0.834, 0.120, 0.668], [0.556, 0.473, 0.113], [0.444, 0.527, 0.887], [0.012, 0.350, 0.023], [0.686, 0.660, 0.372], [0.988, 0.650, 0.977], [0.314, 0.340, 0.628]], "n_ef_per_ev_atom": 0.311, "e_tot_ev_per_atom": -2.739, "space_group": "C2/m", "e_form_kj_per_mol_atoms": -20.46, "total_magnetization_mub_per_fu": 0.000}

Record 11
{"formula": "CsSn2Bi2", "functional": "PBE", "state": "relaxed", "lattice_angstrom": [[9.613, 0.000, 0.000], [0.000, 9.613, 0.000], [0.000, 0.000, 4.038]], "species": ["Bi", "Bi", "Bi", "Bi", "Cs", "Cs", "Sn", "Sn", "Sn", "Sn"], "fractional_positions": [[0.125, 0.375, 0.000], [0.375, 0.875, 0.000], [0.875, 0.625, 0.000], [0.625, 0.125, 0.000], [0.000, 0.000, 0.000], [0.500, 0.500, 0.000], [0.361, 0.139, 0.500], [0.139, 0.639, 0.500], [0.639, 0.861, 0.500], [0.861, 0.361, 0.500]], "n_ef_per_ev_atom": 0.356, "e_tot_ev_per_atom": -3.389, "space_group": "P4/mbm", "e_above_lowest_polymorph_mev_per_atom": 109, "e_form_kj_per_mol_atoms": -6.21, "total_magnetization_mub_per_fu": 0.000}

Record 12
{"formula": "CsSn2Bi", "functional": "PBE", "state": "relaxed", "lattice_angstrom": [[-2.649, -1.906, -2.551], [1.014, -0.594, -3.971], [3.689, -9.999, 0.279]], "species": ["Sn", "Sn", "Cs", "Bi"], "fractional_positions": [[0.732, 0.732, 0.803], [0.268, 0.268, 0.197], [0.500, 0.500, 0.500], [0.000, 0.000, 0.000]], "n_ef_per_ev_atom": 0.566, "e_tot_ev_per_atom": -3.109, "space_group": "R-3m", "e_form_kj_per_mol_atoms": 7.34, "total_magnetization_mub_per_fu": 0.000}

Record 13
{"formula": "Cs3SnBi2", "functional": "PBE", "state": "relaxed", "lattice_angstrom": [[5.606, 0.000, 0.000], [2.803, 10.295, 0.950], [2.803, 3.406, 12.766]], "species": ["Cs", "Cs", "Cs", "Cs", "Cs", "Cs", "Bi", "Bi", "Bi", "Bi", "Sn", "Sn"], "fractional_positions": [[0.215, 0.172, 0.397], [0.785, 0.828, 0.603], [0.339, 0.328, 0.994], [0.939, 0.869, 0.253], [0.661, 0.672, 0.006], [0.061, 0.131, 0.747], [0.875, 0.466, 0.785], [0.590, 0.271, 0.548], [0.125, 0.534, 0.215], [0.410, 0.729, 0.452], [0.572, 0.517, 0.339], [0.428, 0.483, 0.661]], "n_ef_per_ev_atom": 0.243, "e_tot_ev_per_atom": -2.620, "space_group": "C2/m", "e_above_lowest_polymorph_mev_per_atom": 83, "e_form_kj_per_mol_atoms": -22.47, "total_magnetization_mub_per_fu": 0.077}

Record 14
{"formula": "CsSn6Bi2", "functional": "PBE", "state": "relaxed", "lattice_angstrom": [[5.613, 0.000, 0.000], [0.000, 5.613, 0.000], [0.000, 0.000, 10.045]], "species": ["Sn", "Sn", "Sn", "Sn", "Sn", "Sn", "Cs", "Bi", "Bi"], "fractional_positions": [[0.500, 0.000, 0.335], [0.500, 0.500, 0.500], [0.000, 0.500, 0.335], [0.500, 0.000, 0.665], [0.000, 0.500, 0.665], [0.000, 0.000, 0.500], [0.000, 0.000, 0.000], [0.500, 0.500, 0.165], [0.500, 0.500, 0.835]], "n_ef_per_ev_atom": 0.700, "e_tot_ev_per_atom": -3.666, "space_group": "P4/mmm", "e_form_kj_per_mol_atoms": -3.84, "total_magnetization_mub_per_fu": 0.000}

Record 15
{"formula": "CsSnBi2", "functional": "PBE", "state": "relaxed", "lattice_angstrom": [[-2.456, 5.588, -4.015], [-1.934, -1.750, -6.637], [-5.307, -4.058, 4.245]], "species": ["Cs", "Cs", "Bi", "Bi", "Bi", "Bi", "Sn", "Sn"], "fractional_positions": [[0.885, 0.750, 0.269], [0.115, 0.250, 0.731], [0.489, 0.615, 0.717], [0.271, 0.115, 0.283], [0.729, 0.885, 0.717], [0.511, 0.385, 0.283], [0.247, 0.750, 0.994], [0.753, 0.250, 0.006]], "n_ef_per_ev_atom": 0.382, "e_tot_ev_per_atom": -3.359, "space_group": "C2/c", "e_form_kj_per_mol_atoms": -19.77, "total_magnetization_mub_per_fu": 0.000}

Record 16
{"formula": "CsSnBi2", "functional": "PBE", "state": "relaxed", "lattice_angstrom": [[4.443, 0.000, 0.000], [0.000, 4.443, 0.000], [0.000, 0.000, 8.100]], "species": ["Cs", "Bi", "Bi", "Sn"], "fractional_positions": [[0.500, 0.500, 0.500], [0.000, 0.000, 0.820], [0.000, 0.000, 0.180], [0.500, 0.500, 0.000]], "n_ef_per_ev_atom": 0.382, "e_tot_ev_per_atom": -3.259, "space_group": "P4/mmm", "e_form_kj_per_mol_atoms": -10.06, "total_magnetization_mub_per_fu": 0.000}

Record 17
{"formula": "CsSn2Bi2", "functional": "PBE", "state": "relaxed", "lattice_angstrom": [[9.499, 0.000, 0.000], [0.000, 9.499, 0.000], [0.000, 0.000, 4.030]], "species": ["Sn", "Sn", "Sn", "Sn", "Bi", "Bi", "Bi", "Bi", "Cs", "Cs"], "fractional_positions": [[0.380, 0.880, 0.000], [0.880, 0.620, 0.000], [0.120, 0.380, 0.000], [0.620, 0.120, 0.000], [0.352, 0.148, 0.500], [0.648, 0.852, 0.500], [0.148, 0.648, 0.500], [0.852, 0.352, 0.500], [0.500, 0.500, 0.000], [0.000, 0.000, 0.000]], "n_ef_per_ev_atom": 0.361, "e_tot_ev_per_atom": -3.417, "space_group": "P4/mbm", "e_above_lowest_polymorph_mev_per_atom": 81, "e_form_kj_per_mol_atoms": -8.91, "total_magnetization_mub_per_fu": 0.000}

Record 18
{"formula": "CsSn2Bi2", "functional": "PBE", "state": "relaxed", "lattice_angstrom": [[5.526, 0.000, 0.000], [0.000, 5.526, 0.000], [2.763, 2.763, 6.610]], "species": ["Sn", "Sn", "Bi", "Bi", "Cs"], "fractional_positions": [[0.250, 0.750, 0.500], [0.750, 0.250, 0.500], [0.635, 0.635, 0.729], [0.365, 0.365, 0.271], [0.000, 0.000, 0.000]], "n_ef_per_ev_atom": 0.494, "e_tot_ev_per_atom": -3.497, "space_group": "I4/mmm", "e_above_lowest_polymorph_mev_per_atom": 0, "e_form_kj_per_mol_atoms": -16.71, "total_magnetization_mub_per_fu": 0.000}

Record 19
{"formula": "Cs2SnBi", "functional": "PBE", "state": "relaxed", "lattice_angstrom": [[-4.002, -7.280, -6.502], [5.753, 1.935, 8.628], [-9.229, 2.193, 4.614]], "species": ["Bi", "Bi", "Cs", "Cs", "Cs", "Cs", "Sn", "Sn"], "fractional_positions": [[0.250, 0.750, 0.500], [0.000, 0.000, 0.000], [0.049, 0.875, 0.674], [0.125, 0.799, 0.174], [0.201, 0.375, 0.326], [0.625, 0.951, 0.826], [0.750, 0.250, 0.500], [0.500, 0.500, 0.000]], "n_ef_per_ev_atom": 1.077, "e_tot_ev_per_atom": -2.438, "space_group": "I-42d", "e_above_lowest_polymorph_mev_per_atom": 159, "e_form_kj_per_mol_atoms": -3.87, "total_magnetization_mub_per_fu": 0.005}

Record 20
{"formula": "Cs4SnBi4", "functional": "PBE", "state": "relaxed", "lattice_angstrom": [[-0.284, -1.840, 7.613], [4.012, -7.475, -5.691], [7.832, -0.107, 0.266]], "species": ["Cs", "Cs", "Cs", "Cs", "Bi", "Bi", "Bi", "Bi", "Sn"], "fractional_positions": [[0.825, 0.269, 0.175], [0.175, 0.731, 0.445], [0.445, 0.269, 0.555], [0.555, 0.731, 0.825], [0.008, 0.720, 0.992], [0.992, 0.280, 0.713], [0.713, 0.720, 0.287], [0.287, 0.280, 0.008], [0.000, 0.000, 0.000]], "n_ef_per_ev_atom": 0.261, "e_tot_ev_per_atom": -2.716, "space_group": "I-42m", "e_form_kj_per_mol_atoms": -16.12, "total_magnetization_mub_per_fu": 0.000}

Record 21
{"formula": "Cs3Sn2Bi2", "functional": "PBE", "state": "relaxed", "lattice_angstrom": [[-5.359, -0.133, 5.180], [-4.929, -8.146, -5.309], [8.612, -10.838, 8.633]], "species": ["Cs", "Cs", "Cs", "Cs", "Cs", "Cs", "Cs", "Cs", "Cs", "Cs", "Cs", "Cs", "Sn", "Sn", "Sn", "Sn", "Sn", "Sn", "Sn", "Sn", "Bi", "Bi", "Bi", "Bi", "Bi", "Bi", "Bi", "Bi"], "fractional_positions": [[0.113, 0.638, 0.392], [0.887, 0.362, 0.608], [0.682, 0.714, 0.750], [0.887, 0.138, 0.392], [0.682, 0.786, 0.250], [0.887, 0.362, 0.892], [0.113, 0.862, 0.892], [0.887, 0.138, 0.108], [0.318, 0.214, 0.750], [0.113, 0.862, 0.608], [0.113, 0.638, 0.108], [0.318, 0.286, 0.250], [0.386, 0.530, 0.921], [0.614, 0.030, 0.921], [0.386, 0.970, 0.079], [0.386, 0.970, 0.421], [0.614, 0.470, 0.079], [0.386, 0.530, 0.579], [0.614, 0.470, 0.421], [0.614, 0.030, 0.579], [0.608, 0.750, 0.500], [0.779, 0.436, 0.250], [0.221, 0.936, 0.250], [0.608, 0.750, 0.000], [0.221, 0.564, 0.750], [0.779, 0.064, 0.750], [0.392, 0.250, 0.500], [0.392, 0.250, 0.000]], "n_ef_per_ev_atom": 0.562, "e_tot_ev_per_atom": -2.861, "space_group": "Pbcm", "e_form_kj_per_mol_atoms": -23.38, "total_magnetization_mub_per_fu": 0.000}

Record 22
{"formula": "CsSn4Bi2", "functional": "PBE", "state": "relaxed", "lattice_angstrom": [[-5.103, -6.664, -5.242], [2.682, -5.866, -3.073], [3.678, 1.552, 7.119]], "species": ["Cs", "Bi", "Bi", "Sn", "Sn", "Sn", "Sn"], "fractional_positions": [[0.000, 0.000, 0.000], [0.289, 0.313, 0.096], [0.711, 0.687, 0.904], [0.330, 0.246, 0.741], [0.186, 0.716, 0.578], [0.814, 0.284, 0.422], [0.670, 0.754, 0.259]], "n_ef_per_ev_atom": 0.493, "e_tot_ev_per_atom": -3.571, "space_group": "P-1", "e_form_kj_per_mol_atoms": -5.07, "total_magnetization_mub_per_fu": 0.000}

Record 23
{"formula": "CsSnBi2", "functional": "PBE", "state": "relaxed", "lattice_angstrom": [[5.454, 0.000, 0.000], [0.000, 8.951, 0.000], [0.000, 0.000, 13.890]], "species": ["Bi", "Bi", "Bi", "Bi", "Bi", "Bi", "Bi", "Bi", "Sn", "Sn", "Sn", "Sn", "Cs", "Cs", "Cs", "Cs"], "fractional_positions": [[0.562, 0.163, 0.916], [0.562, 0.172, 0.331], [0.062, 0.328, 0.831], [0.562, 0.672, 0.169], [0.062, 0.828, 0.669], [0.562, 0.663, 0.584], [0.062, 0.837, 0.084], [0.062, 0.337, 0.416], [0.563, 0.513, 0.369], [0.063, 0.487, 0.631], [0.063, 0.987, 0.869], [0.563, 0.013, 0.131], [0.062, 0.847, 0.374], [0.062, 0.347, 0.126], [0.562, 0.153, 0.626], [0.562, 0.653, 0.874]], "n_ef_per_ev_atom": 0.591, "e_tot_ev_per_atom": -3.334, "space_group": "Pnma", "e_form_kj_per_mol_atoms": -17.35, "total_magnetization_mub_per_fu": 0.000}